Computed, not measured: crystalline TbHo2Zr3N6 at its relaxed geometry at the GGA-PBE level of DFT.

Output
Energy (eV/atom): -9.183

abc: 5.782 5.782 5.839
angles: 99.54 99.54 119.91
Fractional positions:
Tb 0.000 0.000 0.000
Ho 0.333 0.667 0.000
Ho 0.667 0.333 0.000
Zr 0.167 0.833 0.500
Zr 0.833 0.167 0.500
Zr 0.500 0.500 0.500
N 0.911 0.575 0.734
N 0.753 0.753 0.266
N 0.089 0.425 0.266
N 0.575 0.911 0.734
N 0.247 0.247 0.734
N 0.425 0.089 0.266

Computed, not measured: crystalline TbHo2ZrN4 at its relaxed geometry at the GGA-PBE level of DFT.

Output
Energy (eV/atom): -8.689

abc: 3.399 5.899 5.891
angles: 109.27 90.00 90.00
Fractional positions:
Tb 0.500 0.500 0.000
Ho 0.500 0.000 0.500
Ho 0.000 0.500 0.500
Zr 0.000 0.000 0.000
N 0.500 0.238 0.240
N 0.500 0.762 0.760
N 0.000 0.240 0.755
N 0.000 0.760 0.245

Computed, not measured: crystalline Ho12Tc3N5 at its relaxed geometry at the GGA-PBE level of DFT.

Output
Energy (eV/atom): -7.088

abc: 13.063 13.063 13.063
angles: 109.47 109.47 109.47
Fractional positions:
N 0.125 0.375 0.250
N 0.000 0.500 0.000
N 0.000 0.000 0.000
N 0.375 0.250 0.125
N 0.500 0.000 0.500
N 0.500 0.500 0.000
N 0.125 0.750 0.375
N 0.750 0.125 0.875
N 0.750 0.625 0.375
N 0.375 0.125 0.750
N 0.625 0.875 0.250
N 0.500 0.500 0.500
N 0.500 0.000 0.000
N 0.000 0.000 0.500
N 0.250 0.375 0.625
N 0.250 0.875 0.125
N 0.000 0.500 0.500
N 0.875 0.250 0.625
N 0.625 0.750 0.875
N 0.875 0.625 0.750
Ho 0.705 0.124 0.024
Ho 0.319 0.524 0.401
Ho 0.976 0.376 0.295
Ho 0.524 0.205 0.124
Ho 0.581 0.705 0.681
Ho 0.976 0.599 0.181
Ho 0.319 0.795 0.419
Ho 0.099 0.919 0.124
Ho 0.599 0.976 0.681
Ho 0.705 0.581 0.181
Ho 0.795 0.476 0.376
Ho 0.819 0.901 0.024
Ho 0.124 0.705 0.524
Ho 0.376 0.401 0.081
Ho 0.081 0.901 0.376
Ho 0.419 0.124 0.599
Ho 0.081 0.181 0.205
Ho 0.476 0.681 0.099
Ho 0.819 0.919 0.295
Ho 0.124 0.419 0.099
Ho 0.376 0.976 0.795
Ho 0.599 0.624 0.419
Ho 0.901 0.819 0.524
Ho 0.795 0.319 0.919
Ho 0.401 0.376 0.581
Ho 0.099 0.181 0.476
Ho 0.205 0.681 0.081
Ho 0.181 0.081 0.705
Ho 0.624 0.024 0.205
Ho 0.876 0.581 0.901
Ho 0.524 0.319 0.901
Ho 0.581 0.876 0.401
Ho 0.919 0.819 0.795
Ho 0.919 0.099 0.624
Ho 0.876 0.295 0.476
Ho 0.181 0.099 0.976
Ho 0.624 0.599 0.919
Ho 0.401 0.024 0.319
Ho 0.295 0.419 0.819
Ho 0.205 0.524 0.624
Ho 0.901 0.081 0.876
Ho 0.681 0.205 0.581
Ho 0.476 0.795 0.876
Ho 0.024 0.401 0.819
Ho 0.419 0.295 0.319
Ho 0.024 0.624 0.705
Ho 0.681 0.476 0.599
Ho 0.295 0.876 0.976
Tc 0.750 0.375 0.125
Tc 0.875 0.750 0.125
Tc 0.375 0.750 0.625
Tc 0.250 0.125 0.375
Tc 0.875 0.125 0.250
Tc 0.375 0.625 0.250
Tc 0.625 0.375 0.750
Tc 0.125 0.875 0.750
Tc 0.750 0.875 0.625
Tc 0.625 0.250 0.375
Tc 0.125 0.250 0.875
Tc 0.250 0.625 0.875

Computed, not measured: crystalline Ho2TcN at its relaxed geometry at the GGA-PBE level of DFT.

Output
Energy (eV/atom): -7.168

abc: 3.286 3.286 8.372
angles: 78.68 78.68 60.00
Site moments in Bohr magnetons follow the coordinates.
Fractional positions:
N 0.500 0.500 0.500  0.01
Ho 0.110 0.110 0.670  -0.11
Ho 0.890 0.890 0.330  -0.11
Tc 0.000 0.000 0.000  0.95

Magnetization across the listed records, respectively: 0.00 0.00 0.00 0.80 Bohr magnetons per cell.
ΔE_f (raw) across the listed records, respectively: -167.4 -167.3 -68.0 -19.9 kJ/mol of atoms.